Entry 1:
Computed, not measured: crystalline FeSiC3 at its relaxed geometry at the PBE level of DFT.

Lattice parameters (Å, degrees): 2.8539 2.8735 6.5986 78.90 78.64 61.20
Sites, in units of the cell vectors:
C 0.0766 0.8445 0.4322
C 0.1335 0.8942 0.2129
C 0.6079 0.3802 0.8423
Si 0.7022 0.4698 0.5571
Fe 0.9044 0.6901 0.0112

Computed properties:
Space group: No. 1
Energy above the lowest structure with this stoichiometry (kJ/mol of formula units): 23
Raw formation energy (eV per atom): 0.607



Entry 2:
Computed, not measured: crystalline FeSiC at its relaxed geometry at the PBE level of DFT.

Lattice parameters (Å, degrees): 3.7131 2.6319 6.7526 90.00 112.19 90.00
Sites, in units of the cell vectors:
C 0.4048 0.0000 0.7856
C 0.4048 0.5000 0.2856
Si 0.9891 0.0000 0.1152
Si 0.9891 0.5000 0.6152
Fe 0.4185 0.0000 0.4963
Fe 0.4185 0.5000 0.9963

Computed properties:
Space group: No. 8
Energy above the lowest structure with this stoichiometry (kJ/mol of formula units): 43
Raw formation energy (eV per atom): 0.378



Entry 3:
Computed, not measured: crystalline FeSiC3 at its relaxed geometry at the PBE level of DFT.

Lattice parameters (Å, degrees): 5.9992 2.9849 5.6192 90.00 100.09 90.00
Sites, in units of the cell vectors:
C 0.5516 0.0000 0.2726
C 0.5516 0.5000 0.7726
C 0.1425 0.0000 0.9128
C 0.1425 0.5000 0.4128
C 0.0061 0.0000 0.0750
C 0.0061 0.5000 0.5750
Si 0.4635 0.0000 0.9307
Si 0.4635 0.5000 0.4307
Fe 0.8919 0.0000 0.3450
Fe 0.8919 0.5000 0.8450

Computed properties:
Space group: No. 8
Energy above the lowest structure with this stoichiometry (kJ/mol of formula units): 4
Raw formation energy (eV per atom): 0.568



Entry 4:
Computed, not measured: crystalline FeSiC3 at its relaxed geometry at the PBE level of DFT.

Lattice parameters (Å, degrees): 3.4613 2.6413 11.2757 90.00 91.83 90.00
Sites, in units of the cell vectors:
C 0.5399 0.0000 0.8929
C 0.5399 0.5000 0.3929
C 0.0859 0.0000 0.1668
C 0.0859 0.5000 0.6668
C 0.0429 0.0000 0.6128
C 0.0429 0.5000 0.1128
Si 0.8516 0.0000 0.4531
Si 0.8516 0.5000 0.9531
Fe 0.0895 0.0000 0.8025
Fe 0.0895 0.5000 0.3025

Computed properties:
Space group: No. 8
Energy above the lowest structure with this stoichiometry (kJ/mol of formula units): 106
Raw formation energy (eV per atom): 0.779



Entry 5:
Computed, not measured: crystalline FeSiC3 at its relaxed geometry at the PBE level of DFT.

Lattice parameters (Å, degrees): 3.1382 3.8522 4.2759 73.59 75.00 70.83
Site moments in Bohr magnetons follow the coordinates.
Sites, in units of the cell vectors:
C 0.6267 0.4190 0.3528  0.00
C 0.6255 0.5566 0.9801  -0.01
C 0.2586 0.8941 0.9261  -0.01
Si 0.0590 0.3449 0.6249  0.00
Fe 0.6533 0.9705 0.1719  0.49

Computed properties:
Space group: No. 1
Energy above the lowest structure with this stoichiometry (kJ/mol of formula units): 37
Raw formation energy (eV per atom): 0.635



Entry 6:
Computed, not measured: crystalline Fe2SiC at its relaxed geometry at the PBE level of DFT.

Lattice parameters (Å, degrees): 4.9027 4.9027 5.3890 62.94 62.94 90.00
Sites, in units of the cell vectors:
C 0.5000 0.5000 0.0000
C 0.2500 0.7500 0.5000
Si 0.0000 0.0000 0.0000
Si 0.7500 0.2500 0.5000
Fe 0.5464 0.1250 0.2500
Fe 0.2036 0.6250 0.2500
Fe 0.3750 0.4536 0.7500
Fe 0.8750 0.7964 0.7500

Computed properties:
Space group: No. 122
Raw formation energy (eV per atom): 0.497



Entry 7:
Computed, not measured: crystalline FeSiC3 at its relaxed geometry at the PBE level of DFT.

Lattice parameters (Å, degrees): 3.6870 3.7390 4.2741 80.72 68.86 89.20
Sites, in units of the cell vectors:
C 0.5204 0.5766 0.2653
C 0.7714 0.4265 0.9569
C 0.0140 0.2014 0.0741
Si 0.9103 0.5449 0.4823
Fe 0.3200 0.0654 0.2772

Computed properties:
Space group: No. 1
Energy above the lowest structure with this stoichiometry (kJ/mol of formula units): 108
Raw formation energy (eV per atom): 0.783



Entry 8:
Computed, not measured: crystalline FeSiC3 at its relaxed geometry at the PBE level of DFT.

Lattice parameters (Å, degrees): 3.6852 3.6852 3.6852 90.00 90.00 90.00
Sites, in units of the cell vectors:
C 0.0000 0.5000 0.0000
C 0.0000 0.0000 0.5000
C 0.5000 0.0000 0.0000
Si 0.0000 0.0000 0.0000
Fe 0.5000 0.5000 0.5000

Computed properties:
Space group: No. 221
Energy above the lowest structure with this stoichiometry (kJ/mol of formula units): 816
Raw formation energy (eV per atom): 2.250



Entry 9:
Computed, not measured: crystalline FeSiC3 at its relaxed geometry at the PBE level of DFT.

Lattice parameters (Å, degrees): 2.8417 2.8417 19.3185 90.00 90.00 120.00
Sites, in units of the cell vectors:
C 0.0000 0.0000 0.8509
C 0.3333 0.6667 0.5175
C 0.6667 0.3333 0.1842
C 0.0000 0.0000 0.7775
C 0.3333 0.6667 0.4442
C 0.6667 0.3333 0.1108
C 0.0000 0.0000 0.6541
C 0.3333 0.6667 0.3208
C 0.6667 0.3333 0.9875
Si 0.0000 0.0000 0.5589
Si 0.3333 0.6667 0.2256
Si 0.6667 0.3333 0.8923
Fe 0.0000 0.0000 0.0471
Fe 0.3333 0.6667 0.7138
Fe 0.6667 0.3333 0.3804

Computed properties:
Space group: No. 160
Energy above the lowest structure with this stoichiometry (kJ/mol of formula units): 1
Raw formation energy (eV per atom): 0.562



Entry 10:
Computed, not measured: crystalline Fe2SiC at its relaxed geometry at the PBE level of DFT.

Lattice parameters (Å, degrees): 3.7504 3.7504 3.7504 60.00 60.00 60.00
Sites, in units of the cell vectors:
C 0.0000 0.0000 0.0000
Si 0.5000 0.5000 0.5000
Fe 0.2500 0.2500 0.2500
Fe 0.7500 0.7500 0.7500

Computed properties:
Space group: No. 225
Raw formation energy (eV per atom): 0.591



Entry 11:
Computed, not measured: crystalline FeSiC at its relaxed geometry at the PBE level of DFT.

Lattice parameters (Å, degrees): 2.6032 2.7112 4.1271 90.00 90.00 90.00
Site moments in Bohr magnetons follow the coordinates.
Sites, in units of the cell vectors:
C 0.0000 0.0000 0.8081  -0.01
Si 0.0000 0.5000 0.1390  0.00
Fe 0.5000 0.5000 0.6163  0.39

Computed properties:
Space group: No. 25
Energy above the lowest structure with this stoichiometry (kJ/mol of formula units): 3
Raw formation energy (eV per atom): 0.240



Entry 12:
Computed, not measured: crystalline FeSiC3 at its relaxed geometry at the PBE level of DFT.

Lattice parameters (Å, degrees): 3.0010 3.2043 5.3589 99.08 90.00 90.01
Sites, in units of the cell vectors:
C 0.3553 0.5327 0.6007
C 0.3553 0.3154 0.7988
C 0.8554 0.9547 0.1981
Si 0.8554 0.5031 0.3816
Fe 0.3555 0.8792 0.9650

Computed properties:
Space group: No. 6
Energy above the lowest structure with this stoichiometry (kJ/mol of formula units): 0
Raw formation energy (eV per atom): 0.559



Question: What is the formula in the eighth record?
Answer: FeSiC3



Question: What is the formula in the seventh record?
Answer: FeSiC3